[1]
An optimized crystal structure of Ba2CdHgIr. Source: Alexandria, functional PBE.

```
Ba2CdHgIr
1.0
6.033 0.000 0.000
0.000 6.033 0.000
0.000 0.000 5.280
Ba Cd Hg Ir
2 1 1 1
direct
0.000 0.500 0.000
0.500 0.000 0.000
0.000 0.000 0.500
0.500 0.500 0.500
0.000 0.000 0.000
```

=====

[2]
An optimized crystal structure of SrTl2SnS4. Source: Alexandria, functional PBE.

```
SrTl2SnS4
1.0
-4.094 4.398 6.027
4.094 -4.398 6.027
4.094 4.398 -6.027
Sr Tl Sn S
2 4 2 8
direct
0.000 0.000 0.000
0.500 0.000 0.500
0.000 0.500 0.500
0.500 0.000 0.000
0.500 0.500 0.000
0.500 0.500 0.500
0.000 0.000 0.500
0.000 0.500 0.000
0.204 0.246 0.958
0.212 0.754 0.458
0.214 0.202 0.488
0.214 0.726 0.012
0.786 0.274 0.988
0.786 0.798 0.512
0.788 0.246 0.542
0.796 0.754 0.042
```

Calculated values
As for the raw formation energy: -0.74 eV per atom.

=====

[3]
An optimized crystal structure of La2GdSn. Source: Alexandria, functional PBE.

```
La2GdSn
1.0
7.967 0.000 0.000
0.000 7.967 0.000
0.000 0.000 7.967
La Gd Sn
8 4 4
direct
0.250 0.250 0.250
0.250 0.250 0.750
0.250 0.750 0.250
0.250 0.750 0.750
0.750 0.250 0.250
0.750 0.250 0.750
0.750 0.750 0.250
0.750 0.750 0.750
0.000 0.000 0.000
0.000 0.500 0.500
0.500 0.000 0.500
0.500 0.500 0.000
0.000 0.000 0.500
0.000 0.500 0.000
0.500 0.000 0.000
0.500 0.500 0.500
```

=====

[4]
An optimized crystal structure of Sn2HgIr2. Source: Alexandria, functional PBE.

```
Sn2HgIr2
1.0
4.266 0.000 0.000
0.000 4.266 0.000
0.000 0.000 11.646
Sn Hg Ir
4 2 4
direct
0.000 0.500 0.250
0.000 0.500 0.750
0.500 0.000 0.250
0.500 0.000 0.750
0.000 0.000 0.000
0.500 0.500 0.500
0.000 0.000 0.390
0.000 0.000 0.610
0.500 0.500 0.110
0.500 0.500 0.890
```

=====

[5]
An optimized crystal structure of KBa2AlNi. Source: Alexandria, functional PBE.

```
KBa2AlNi
1.0
5.900 0.000 0.000
0.000 5.900 0.000
0.000 0.000 5.954
K Ba Al Ni
1 2 1 1
direct
0.000 0.000 0.000
0.000 0.500 0.500
0.500 0.000 0.500
0.500 0.500 0.000
0.000 0.000 0.500
```

=====

[6]
An optimized crystal structure of CoMo2Cl. Source: Alexandria, functional PBE.

```
CoMo2Cl
1.0
6.049 0.000 0.000
0.000 6.049 0.000
0.000 0.000 6.049
Co Mo Cl
4 8 4
direct
0.000 0.000 0.000
0.000 0.500 0.500
0.500 0.000 0.500
0.500 0.500 0.000
0.250 0.250 0.250
0.250 0.250 0.750
0.250 0.750 0.250
0.250 0.750 0.750
0.750 0.250 0.250
0.750 0.250 0.750
0.750 0.750 0.250
0.750 0.750 0.750
0.000 0.000 0.500
0.000 0.500 0.000
0.500 0.000 0.000
0.500 0.500 0.500
```

Calculated values
As for the raw formation energy: 0.66 eV per atom.

=====

[7]
An optimized crystal structure of CsPuO2. Source: Alexandria, functional PBE.

```
CsPuO2
1.0
3.176 0.000 0.000
0.000 3.176 0.000
0.000 0.000 7.021
Cs Pu O
1 1 2
direct
0.000 0.000 0.000
0.000 0.000 0.500
0.500 0.500 0.318
0.500 0.500 0.682
```

Calculated values
As for the raw formation energy: -1.79 eV per atom.

=====

[8]
An optimized crystal structure of LaScNb2Ir. Source: Alexandria, functional PBE.

```
LaScNb2Ir
1.0
4.809 0.000 0.000
0.000 4.809 0.000
0.000 0.000 4.934
La Sc Nb Ir
1 1 2 1
direct
0.000 0.000 0.000
0.000 0.000 0.500
0.000 0.500 0.000
0.500 0.000 0.000
0.500 0.500 0.500
```

=====

[9]
An optimized crystal structure of PrNdGe4. Source: Alexandria, functional PBE.

```
PrNdGe4
1.0
0.000 4.062 4.062
4.062 0.000 4.062
4.062 4.062 0.000
Pr Nd Ge
1 1 4
direct
0.000 0.000 0.000
0.750 0.750 0.750
0.376 0.376 0.376
0.376 0.376 0.873
0.376 0.873 0.376
0.873 0.376 0.376
```

=====

[10]
An optimized crystal structure of K3Ce2AuSe6. Source: Alexandria, functional PBE.

```
K3Ce2AuSe6
1.0
3.566 -6.755 0.000
3.566 6.755 0.000
-2.183 0.000 7.603
K Ce Au Se
3 2 1 6
direct
0.000 0.000 0.000
0.347 0.653 0.000
0.653 0.347 0.000
0.167 0.833 0.500
0.833 0.167 0.500
0.500 0.500 0.500
0.057 0.435 0.280
0.249 0.249 0.681
0.435 0.057 0.280
0.565 0.943 0.720
0.751 0.751 0.319
0.943 0.565 0.720
```

Calculated values
As for the raw formation energy: -1.29 eV per atom.

=====

[11]
An optimized crystal structure of LiPdPb. Source: Alexandria, functional PBE.

```
LiPdPb
1.0
6.373 0.000 0.000
0.000 6.373 0.000
0.000 0.000 6.373
Li Pd Pb
4 4 4
direct
0.000 0.000 0.000
0.000 0.500 0.500
0.500 0.000 0.500
0.500 0.500 0.000
0.250 0.250 0.250
0.250 0.750 0.750
0.750 0.250 0.750
0.750 0.750 0.250
0.000 0.000 0.500
0.000 0.500 0.000
0.500 0.000 0.000
0.500 0.500 0.500
```

=====

[12]
An optimized crystal structure of Ho3ZnFe. Source: Alexandria, functional PBE.

```
Ho3ZnFe
1.0
7.758 -1.871 0.000
7.758 1.871 0.000
-0.100 0.000 8.270
Ho Zn Fe
6 2 2
direct
0.059 0.059 0.207
0.241 0.241 0.808
0.402 0.402 0.437
0.598 0.598 0.563
0.759 0.759 0.192
0.941 0.941 0.793
0.406 0.406 0.070
0.594 0.594 0.930
0.227 0.227 0.459
0.773 0.773 0.541
```

=====

[13]
An optimized crystal structure of Zn2OsPb. Source: Alexandria, functional PBE.

```
Zn2OsPb
1.0
3.034 0.000 0.000
0.000 5.066 0.000
0.000 0.000 9.979
Zn Os Pb
4 2 2
direct
0.000 0.000 0.000
0.000 0.500 0.221
0.500 0.000 0.221
0.500 0.500 0.000
0.000 0.500 0.792
0.500 0.000 0.792
0.000 0.000 0.541
0.500 0.500 0.541
```

=====

[14]
An optimized crystal structure of ThMn2Ni3. Source: Alexandria, functional PBE.

```
ThMn2Ni3
1.0
5.095 0.000 0.000
-2.547 4.412 0.000
0.000 0.000 4.006
Th Mn Ni
1 2 3
direct
0.000 0.000 0.000
0.333 0.667 0.000
0.667 0.333 0.000
0.000 0.500 0.500
0.500 0.000 0.500
0.500 0.500 0.500
```

=====

[15]
An optimized crystal structure of NbRe2B. Source: Alexandria, functional PBE.

```
NbRe2B
1.0
3.109 0.000 0.000
0.000 9.456 0.000
0.000 0.000 7.279
Nb Re B
4 8 4
direct
0.000 0.066 0.250
0.000 0.934 0.750
0.500 0.434 0.750
0.500 0.566 0.250
0.000 0.357 0.054
0.000 0.357 0.446
0.000 0.643 0.554
0.000 0.643 0.946
0.500 0.143 0.554
0.500 0.143 0.946
0.500 0.857 0.054
0.500 0.857 0.446
0.000 0.228 0.750
0.000 0.772 0.250
0.500 0.272 0.250
0.500 0.728 0.750
```

=====

[16]
An optimized crystal structure of SiB2. Source: Alexandria, functional PBE.

```
SiB2
1.0
2.964 0.000 0.000
-1.482 2.582 0.000
-0.016 -1.657 3.442
Si B
1 2
direct
0.000 0.000 0.000
0.195 0.390 0.584
0.805 0.610 0.416
```

Calculated values
As for the raw formation energy: 0.38 eV per atom.

=====

[17]
An optimized crystal structure of BaGa3Os. Source: Alexandria, functional PBE.

```
BaGa3Os
1.0
-2.367 2.367 12.383
2.367 -2.367 12.383
2.367 2.367 -12.383
Ba Ga Os
2 6 2
direct
0.000 0.000 0.000
0.750 0.250 0.500
0.339 0.339 0.000
0.373 0.129 0.244
0.661 0.661 0.000
0.871 0.116 0.244
0.871 0.627 0.756
0.884 0.129 0.756
0.203 0.703 0.500
0.297 0.797 0.500
```

=====

[18]
An optimized crystal structure of Ti2AgBr. Source: Alexandria, functional PBE.

```
Ti2AgBr
1.0
5.850 0.000 0.000
0.000 5.850 0.000
0.000 0.000 11.635
Ti Ag Br
8 4 4
direct
0.248 0.250 0.125
0.250 0.748 0.375
0.250 0.752 0.875
0.252 0.250 0.625
0.748 0.750 0.625
0.750 0.248 0.875
0.750 0.252 0.375
0.752 0.750 0.125
0.000 0.000 0.500
0.000 0.500 0.750
0.500 0.000 0.250
0.500 0.500 0.000
0.000 0.000 0.000
0.000 0.500 0.250
0.500 0.000 0.750
0.500 0.500 0.500
```

Calculated values
As for the raw formation energy: 0.63 eV per atom.

=====

[19]
An optimized crystal structure of Al2CuSi. Source: Alexandria, functional PBE.

```
Al2CuSi
1.0
2.828 0.000 0.000
0.000 2.828 0.000
0.000 0.000 7.291
Al Cu Si
2 1 1
direct
0.000 0.000 0.000
0.500 0.500 0.278
0.000 0.000 0.516
0.500 0.500 0.740
```

Calculated values
As for the raw formation energy: 0.04 eV per atom.

=====

[20]
An optimized crystal structure of Hf2ScRh2. Source: Alexandria, functional PBE.

```
Hf2ScRh2
1.0
7.898 0.000 0.000
0.000 7.898 0.000
0.000 0.000 3.013
Hf Sc Rh
4 2 4
direct
0.146 0.354 0.000
0.354 0.854 0.000
0.646 0.146 0.000
0.854 0.646 0.000
0.000 0.000 0.000
0.500 0.500 0.000
0.152 0.652 0.500
0.348 0.152 0.500
0.652 0.848 0.500
0.848 0.348 0.500
```

=====

[21]
An optimized crystal structure of SClO. Source: Alexandria, functional PBE.

```
SClO
1.0
5.237 0.000 0.000
-1.262 5.426 0.000
-2.130 -2.102 6.160
S Cl O
2 2 2
direct
0.000 0.000 0.000
0.465 0.775 0.617
0.351 0.440 0.681
0.656 0.699 0.407
0.191 0.018 0.883
0.967 0.784 0.086
```

Calculated values
As for the raw formation energy: -0.59 eV per atom.

=====

[22]
An optimized crystal structure of Na2PaTi2S6. Source: Alexandria, functional PBE.

```
Na2PaTi2S6
1.0
3.162 -5.541 0.000
3.162 5.541 0.000
-2.121 0.000 6.857
Na Pa Ti S
2 1 2 6
direct
0.164 0.836 0.000
0.836 0.164 0.000
0.000 0.000 0.500
0.333 0.667 0.500
0.667 0.333 0.500
0.069 0.420 0.713
0.280 0.280 0.287
0.420 0.069 0.713
0.580 0.931 0.287
0.720 0.720 0.713
0.931 0.580 0.287
```

Calculated values
As for the raw formation energy: -1.44 eV per atom.

=====

[23]
An optimized crystal structure of ZrOsW3. Source: Alexandria, functional PBE.

```
ZrOsW3
1.0
4.758 0.000 0.000
0.000 4.758 0.000
0.000 0.000 4.758
Zr Os W
1 1 3
direct
0.000 0.000 0.000
0.500 0.500 0.500
0.000 0.500 0.500
0.500 0.000 0.500
0.500 0.500 0.000
```

=====

[24]
An optimized crystal structure of Sm4Y3Ru4. Source: Alexandria, functional PBE.

```
Sm4Y3Ru4
1.0
-1.779 4.474 8.321
1.779 -4.474 8.321
1.779 4.474 -8.321
Sm Y Ru
4 3 4
direct
0.028 0.836 0.192
0.355 0.164 0.192
0.645 0.836 0.808
0.972 0.164 0.808
0.000 0.500 0.500
0.404 0.404 0.000
0.596 0.596 0.000
0.261 0.761 0.500
0.276 0.000 0.276
0.724 0.000 0.724
0.739 0.239 0.500
```

=====

[25]
An optimized crystal structure of CsPa2S4. Source: Alexandria, functional PBE.

```
CsPa2S4
1.0
-4.298 4.298 6.093
4.298 -4.298 6.093
4.298 4.298 -6.093
Cs Pa S
2 4 8
direct
0.375 0.625 0.750
0.625 0.375 0.250
0.000 0.000 0.000
0.000 0.000 0.500
0.000 0.500 0.000
0.500 0.000 0.500
0.176 0.225 0.951
0.225 0.176 0.451
0.225 0.774 0.049
0.226 0.775 0.451
0.774 0.225 0.549
0.775 0.226 0.951
0.775 0.824 0.549
0.824 0.775 0.049
```

Calculated values
As for the raw formation energy: -1.43 eV per atom.

=====

[26]
An optimized crystal structure of BeAlOs2. Source: Alexandria, functional PBE.

```
BeAlOs2
1.0
2.789 0.000 0.000
-1.394 2.415 0.000
0.000 0.000 23.150
Be Al Os
3 3 6
direct
0.000 0.000 0.000
0.333 0.667 0.667
0.667 0.333 0.333
0.000 0.000 0.500
0.333 0.667 0.167
0.667 0.333 0.833
0.000 0.000 0.256
0.000 0.000 0.744
0.333 0.667 0.411
0.333 0.667 0.922
0.667 0.333 0.078
0.667 0.333 0.589
```

=====

Respective E values: -14.85 -65.68 -116.76 -50.70 -12.77 -111.98 -32.27 -31.51 -30.28 -54.80 -46.68 -48.04 -29.92 -44.41 -172.66 -17.65 -42.04 -71.23 -16.82 -87.79 -25.39 -68.55 -50.95 -77.72 -92.71 -90.35 eV/cell.